Record 1
PPd2: relaxed, PBE-GGA.

a = 5.8617 Å, b = 5.6838 Å, c = 11.3690 Å
α = 90.00°, β = 90.00°, γ = 90.00°
Last column: nearest neighbours and their distance in Å.
Positions (direct):
Pd: 0.9946 0.2521 0.4640  4 P 2.40-2.51
Pd: 0.4946 0.7479 0.0360  4 P 2.40-2.51
Pd: 0.4165 0.1085 0.7168  3 P 2.38-2.42
P: 0.7381 0.0607 0.1090  7 Pd 2.38-2.51
Pd: 0.0835 0.6085 0.2832  3 P 2.38-2.42
Pd: 0.5835 0.3915 0.2168  3 P 2.38-2.42
P: 0.2619 0.4393 0.6090  7 Pd 2.38-2.51
P: 0.2381 0.4393 0.1090  7 Pd 2.38-2.51
P: 0.7381 0.5607 0.3910  7 Pd 2.38-2.51
P: 0.7619 0.5607 0.8910  7 Pd 2.38-2.51
Pd: 0.5835 0.8915 0.2832  3 P 2.38-2.42
Pd: 0.4946 0.2479 0.4640  4 P 2.40-2.51
Pd: 0.5054 0.2521 0.9640  4 P 2.40-2.51
Pd: 0.9165 0.3915 0.7168  3 P 2.38-2.42
Pd: 0.9946 0.7521 0.0360  4 P 2.40-2.51
Pd: 0.0835 0.1085 0.2168  3 P 2.38-2.42
P: 0.2381 0.9393 0.3910  7 Pd 2.38-2.51
Pd: 0.9165 0.8915 0.7832  3 P 2.38-2.42
Pd: 0.4165 0.6085 0.7832  3 P 2.38-2.42
P: 0.2619 0.9393 0.8910  7 Pd 2.38-2.51
Pd: 0.0054 0.2479 0.9640  4 P 2.40-2.51
P: 0.7619 0.0607 0.6090  7 Pd 2.38-2.51
Pd: 0.5054 0.7521 0.5360  4 P 2.40-2.51
Pd: 0.0054 0.7479 0.5360  4 P 2.40-2.51

Values from the calculation:
**Symmetry**: Pbca
**Density of states at the Fermi level**: 12.10 states/eV per cell
**Energy relative to the elements**: -116 kJ/mol of formula units

Record 2
PPd: relaxed, PBE-GGA.

a = 3.1289 Å, b = 3.0903 Å, c = 4.2294 Å
α = 106.31°, β = 100.59°, γ = 112.77°
Last column: nearest neighbours and their distance in Å.
Positions (direct):
Pd: 0.6530 0.7973 0.0092  4 P 2.33-2.44
P: 0.8353 0.2330 0.6337  4 Pd 2.33-2.44

Values from the calculation:
**Symmetry**: P1
**Density of states at the Fermi level**: 0.80 states/eV per cell
**Energy relative to the elements**: -26 kJ/mol of formula units

Record 3
PPd: relaxed, PBE-GGA.

a = 9.9573 Å, b = 4.6145 Å, c = 4.6535 Å
α = 90.00°, β = 90.00°, γ = 90.00°
Last column: nearest neighbours and their distance in Å.
Positions (direct):
Pd: 0.0000 0.6351 0.6670  4 P 2.39-2.54
Pd: 0.7730 0.1711 0.2115  5 P 2.43-2.58
Pd: 0.2730 0.8289 0.7115  5 P 2.43-2.58
Pd: 0.2270 0.1711 0.2115  5 P 2.43-2.58
Pd: 0.7270 0.8289 0.7115  5 P 2.43-2.58
P: 0.6916 0.6719 0.2188  5 Pd 2.39-2.49, 1 P 2.42
P: 0.0000 0.1205 0.4743  4 Pd 2.41-2.58, 2 P 2.42
P: 0.8084 0.3281 0.7188  5 Pd 2.39-2.49, 1 P 2.42
P: 0.3084 0.6719 0.2188  5 Pd 2.39-2.49, 1 P 2.42
Pd: 0.5000 0.3649 0.1670  4 P 2.39-2.54
P: 0.5000 0.8795 0.9743  4 Pd 2.41-2.58, 2 P 2.42
P: 0.1916 0.3281 0.7188  5 Pd 2.39-2.49, 1 P 2.42

Values from the calculation:
**Symmetry**: Pmn2_1
**Density of states at the Fermi level**: 6.82 states/eV per cell
**Energy relative to the elements**: -27 kJ/mol of formula units

Record 4
PPd: relaxed, PBE-GGA.

a = 7.2743 Å, b = 7.2743 Å, c = 7.2743 Å
α = 90.00°, β = 90.00°, γ = 90.00°
Last column: nearest neighbours and their distance in Å.
Positions (direct):
P: 0.6796 0.3204 0.3204  4 Pd 2.23-2.38
Pd: 0.3566 0.3566 0.3566  4 P 2.23-2.38
P: 0.8204 0.8204 0.1796  4 Pd 2.23-2.38
P: 0.3204 0.6796 0.3204  4 Pd 2.23-2.38
Pd: 0.8566 0.1434 0.1434  4 P 2.23-2.38
Pd: 0.1434 0.1434 0.8566  4 P 2.23-2.38
P: 0.1796 0.1796 0.1796  4 Pd 2.23-2.38
P: 0.1796 0.8204 0.8204  4 Pd 2.23-2.38
P: 0.6796 0.6796 0.6796  4 Pd 2.23-2.38
P: 0.3204 0.3204 0.6796  4 Pd 2.23-2.38
Pd: 0.8566 0.8566 0.8566  4 P 2.23-2.38
Pd: 0.1434 0.8566 0.1434  4 P 2.23-2.38
Pd: 0.6434 0.3566 0.6434  4 P 2.23-2.38
Pd: 0.3566 0.6434 0.6434  4 P 2.23-2.38
Pd: 0.6434 0.6434 0.3566  4 P 2.23-2.38
P: 0.8204 0.1796 0.8204  4 Pd 2.23-2.38

Values from the calculation:
**Symmetry**: I-43m
**Density of states at the Fermi level**: 10.72 states/eV per cell
**Energy relative to the elements**: -8 kJ/mol of formula units

Record 5
PPd: relaxed, PBE-GGA.

a = 3.3871 Å, b = 4.2978 Å, c = 4.5403 Å
α = 73.57°, β = 78.04°, γ = 77.28°
Last column: nearest neighbours and their distance in Å.
Positions (direct):
P: 0.2304 0.1729 0.8722  2 P 2.30-2.37, 2 Pd 2.39-2.46
P: 0.7696 0.8271 0.1278  2 P 2.30-2.37, 2 Pd 2.39-2.46
Pd: 0.3478 0.3400 0.3174  5 P 2.39-2.64
Pd: 0.6522 0.6600 0.6826  5 P 2.39-2.64

Values from the calculation:
**Symmetry**: P-1
**Density of states at the Fermi level**: 1.09 states/eV per cell
**Energy relative to the elements**: -49 kJ/mol of formula units

Record 6
PPd: relaxed, PBE-GGA.

a = 3.5447 Å, b = 4.6923 Å, c = 4.4273 Å
α = 90.00°, β = 114.01°, γ = 90.00°
Last column: nearest neighbours and their distance in Å.
Positions (direct):
Pd: 0.4027 0.2500 0.3022  5 P 2.41-2.48
P: 0.6966 0.2500 0.8971  5 Pd 2.41-2.48
P: 0.3034 0.7500 0.1029  5 Pd 2.41-2.48
Pd: 0.5973 0.7500 0.6978  5 P 2.41-2.48

Values from the calculation:
**Symmetry**: P2_1/m
**Density of states at the Fermi level**: 1.75 states/eV per cell
**Energy relative to the elements**: -49 kJ/mol of formula units

Record 7
PPd: relaxed, PBE-GGA.

a = 2.6625 Å, b = 3.9340 Å, c = 2.9761 Å
α = 90.00°, β = 90.00°, γ = 90.00°
Last column: nearest neighbours and their distance in Å.
Positions (direct):
Pd: 0.0000 0.5000 0.0000  4 P 2.47, 2 Pd 2.66
P: 0.0000 0.0000 0.5000  4 Pd 2.47, 2 P 2.66

Values from the calculation:
**Symmetry**: Pmmm
**Density of states at the Fermi level**: 0.53 states/eV per cell
**Energy relative to the elements**: -16 kJ/mol of formula units

Record 8
P3Pd7: relaxed, PBE-GGA.

a = 7.3636 Å, b = 7.3636 Å, c = 7.3636 Å
α = 109.99°, β = 109.99°, γ = 109.99°
Last column: nearest neighbours and their distance in Å.
Positions (direct):
Pd: 0.7771 0.7771 0.7771  3 P 2.35
Pd: 0.8985 0.8205 0.2510  3 P 2.31-2.56
Pd: 0.1202 0.5620 0.3861  3 P 2.44-2.59
P: 0.4988 0.8750 0.7005  7 Pd 2.31-2.59
Pd: 0.8300 0.3882 0.5640  3 P 2.44-2.59
Pd: 0.2510 0.8985 0.8205  3 P 2.31-2.56
P: 0.2497 0.4513 0.0752  7 Pd 2.31-2.59
Pd: 0.3882 0.5640 0.8300  3 P 2.44-2.59
Pd: 0.1297 0.6991 0.0517  3 P 2.31-2.56
P: 0.4513 0.0752 0.2497  7 Pd 2.31-2.59
P: 0.8750 0.7005 0.4988  7 Pd 2.31-2.59
Pd: 0.5620 0.3861 0.1202  3 P 2.44-2.59
P: 0.7005 0.4988 0.8750  7 Pd 2.31-2.59
Pd: 0.5640 0.8300 0.3882  3 P 2.44-2.59
Pd: 0.8205 0.2510 0.8985  3 P 2.31-2.56
Pd: 0.6991 0.0517 0.1297  3 P 2.31-2.56
P: 0.0752 0.2497 0.4513  7 Pd 2.31-2.59
Pd: 0.0517 0.1297 0.6991  3 P 2.31-2.56
Pd: 0.1726 0.1726 0.1726  3 P 2.35
Pd: 0.3861 0.1202 0.5620  3 P 2.44-2.59

Values from the calculation:
**Symmetry**: R-3
**Density of states at the Fermi level**: 6.98 states/eV per cell
**Energy relative to the elements**: -448 kJ/mol of formula units

Record 9
PPd: relaxed, PBE-GGA.

a = 5.0266 Å, b = 5.0266 Å, c = 5.0266 Å
α = 90.00°, β = 90.00°, γ = 90.00°
Last column: nearest neighbours and their distance in Å.
Positions (direct):
Pd: 0.0000 0.0000 0.5000  6 P 2.51
P: 0.0000 0.0000 0.0000  6 Pd 2.51
P: 0.5000 0.5000 0.0000  6 Pd 2.51
P: 0.5000 0.0000 0.5000  6 Pd 2.51
Pd: 0.5000 0.0000 0.0000  6 P 2.51
Pd: 0.0000 0.5000 0.0000  6 P 2.51
Pd: 0.5000 0.5000 0.5000  6 P 2.51
P: 0.0000 0.5000 0.5000  6 Pd 2.51

Values from the calculation:
**Symmetry**: Fm-3m
**Density of states at the Fermi level**: 4.52 states/eV per cell
**Energy relative to the elements**: -12 kJ/mol of formula units

Record 10
P2Pd: relaxed, PBE-GGA.

a = 4.5500 Å, b = 4.5500 Å, c = 5.9163 Å
α = 66.26°, β = 66.26°, γ = 80.77°
Last column: nearest neighbours and their distance in Å.
Positions (direct):
P: 0.3104 0.0620 0.6663  2 P 2.22-2.24, 2 Pd 2.36
P: 0.6896 0.9380 0.3337  2 P 2.22-2.24, 2 Pd 2.36
P: 0.0620 0.3104 0.1663  2 P 2.22-2.24, 2 Pd 2.36
Pd: 0.0000 0.5000 0.5000  4 P 2.36
Pd: 0.5000 0.0000 0.0000  4 P 2.36
P: 0.9380 0.6896 0.8337  2 P 2.22-2.24, 2 Pd 2.36

Values from the calculation:
**Symmetry**: C2/c
**Energy relative to the elements**: -123 kJ/mol of formula units

Record 11
PPd: relaxed, PBE-GGA.

a = 10.1224 Å, b = 10.1224 Å, c = 3.9081 Å
α = 90.00°, β = 90.00°, γ = 90.00°
Last column: nearest neighbours and their distance in Å.
Positions (direct):
P: 0.3358 0.0881 0.0000  4 Pd 2.32-2.41
P: 0.7663 0.6264 0.5000  4 Pd 2.30-2.39
P: 0.3736 0.7663 0.5000  4 Pd 2.30-2.39
Pd: 0.1215 0.4287 0.0000  4 P 2.32-2.41
Pd: 0.5713 0.1215 0.0000  4 P 2.32-2.41
Pd: 0.6088 0.7902 0.5000  4 P 2.30-2.39
Pd: 0.3912 0.2098 0.5000  4 P 2.30-2.39
Pd: 0.2098 0.6088 0.5000  4 P 2.30-2.39
Pd: 0.7902 0.3912 0.5000  4 P 2.30-2.39
P: 0.6642 0.9119 0.0000  4 Pd 2.32-2.41
P: 0.0881 0.6642 0.0000  4 Pd 2.32-2.41
Pd: 0.8785 0.5713 0.0000  4 P 2.32-2.41
P: 0.6264 0.2337 0.5000  4 Pd 2.30-2.39
Pd: 0.4287 0.8785 0.0000  4 P 2.32-2.41
P: 0.2337 0.3736 0.5000  4 Pd 2.30-2.39
P: 0.9119 0.3358 0.0000  4 Pd 2.32-2.41

Values from the calculation:
**Symmetry**: P4/m
**Density of states at the Fermi level**: 5.02 states/eV per cell
**Energy relative to the elements**: -19 kJ/mol of formula units

Record 12
PPd3: relaxed, PBE-GGA.

a = 3.1653 Å, b = 4.7496 Å, c = 4.9438 Å
α = 118.71°, β = 108.67°, γ = 90.00°
Last column: nearest neighbours and their distance in Å.
Positions (direct):
Pd: 0.5000 0.3895 0.0000  2 P 2.35
P: 0.0000 0.0233 0.0000  6 Pd 2.35-2.36
Pd: 0.6995 0.0764 0.3989  2 P 2.36
Pd: 0.3005 0.6774 0.6011  2 P 2.36

Values from the calculation:
**Symmetry**: Imm2
**Density of states at the Fermi level**: 2.00 states/eV per cell
**Energy relative to the elements**: -136 kJ/mol of formula units
**E above lowest polymorph**: 117 meV per atom